Model P:
CaScW2 | PBE-GGA | optimized geometry

The calculation puts the calculated density at 8.8 Mg/m³.

The structure belongs to space group Imm2 (No. 44); the cell edges are 3.433, 5.132 and 9.744 Å and the angles 90.00°, 90.00° and 90.00°. Symmetry generates all atoms from Ca at (0.000, 0.000, 0.000), Sc at (0.000, 0.500, 0.782), W at (0.000, 0.000, 0.549) and W at (0.000, 0.500, 0.230).

---

Model Q:
CaScW2 | PBE-GGA | optimized geometry

The calculation puts the calculated density at 9.6 Mg/m³.

The structure belongs to space group P4/mmm (No. 123); the cell edges are 2.793, 2.793 and 9.997 Å and the angles 90.00°, 90.00° and 90.00°. Symmetry generates all atoms from Ca at (0.000, 0.000, 0.000), Sc at (0.000, 0.000, 0.500) and W at (0.500, 0.500, 0.266).

---

Model R:
CaScW2 | PBE-GGA | optimized geometry

The calculation puts the calculated density at 9.7 Mg/m³.

The structure belongs to space group Cmmm (No. 65); the cell edges are 5.608, 9.918 and 2.794 Å and the angles 90.00°, 90.00° and 90.00°. Symmetry generates all atoms from Ca at (0.000, 0.000, 0.000), Sc at (0.000, 0.500, 0.000) and W at (0.250, 0.250, 0.500).

---

Model S:
CaScW2 | PBE-GGA | optimized geometry

The calculation puts the calculated density at 9.7 Mg/m³.

The structure belongs to space group P4/mmm (No. 123); the cell edges are 3.957, 3.957 and 4.965 Å and the angles 90.00°, 90.00° and 90.00°. Symmetry generates all atoms from Ca at (0.000, 0.000, 0.000), Sc at (0.500, 0.500, 0.000) and W at (0.000, 0.500, 0.500).

---

Quick ranking, most stable first: model P, model Q, model R, model S.

---

Model P:
Ca2ScW | PBE-GGA | optimized geometry

The calculation puts the calculated density at 5.3 Mg/m³.

The structure belongs to space group P2/m (No. 10); the cell edges are 3.022, 5.453 and 5.968 Å and the angles 90.00°, 97.79° and 90.00°. Symmetry generates all atoms from Ca at (0.220, 0.000, 0.236), Sc at (0.000, 0.500, 0.500) and W at (0.500, 0.500, 0.000).

---

Model Q:
Ca2ScW | PBE-GGA | optimized geometry

The calculation puts the calculated density at 5.2 Mg/m³.

The structure belongs to space group C2/m (No. 12); the cell edges are 11.201, 3.112 and 5.700 Å and the angles 90.00°, 98.21° and 90.00°. Symmetry generates all atoms from Ca at (0.236, 0.000, 0.233), Sc at (0.000, 0.000, 0.500) and W at (0.000, 0.500, 0.000).

---

Quick ranking, most stable first: model Q, model P.

---

Model P:
CaScW | PBE-GGA | optimized geometry

The calculation puts the calculated density at 6.6 Mg/m³.

The structure belongs to space group Fmm2 (No. 42); the cell edges are 3.794, 4.617 and 15.536 Å and the angles 90.00°, 90.00° and 90.00°. Symmetry generates all atoms from Ca at (0.000, 0.000, 0.000), Sc at (0.000, 0.000, 0.704) and W at (0.000, 0.000, 0.339).

---

Model Q:
CaScW | PBE-GGA | optimized geometry

The calculation puts the calculated density at 6.5 Mg/m³.

The structure belongs to space group I4mm (No. 107); the cell edges are 2.966, 2.966 and 15.506 Å and the angles 90.00°, 90.00° and 90.00°. Symmetry generates all atoms from Ca at (0.000, 0.000, 0.000), Sc at (0.000, 0.000, 0.296) and W at (0.000, 0.000, 0.661).

---

Quick ranking, most stable first: model P, model Q.

---

Model P:
CaScW | PBE-GGA | optimized geometry

The calculation puts the calculated density at 5.4 Mg/m³.

The structure belongs to space group F-43m (No. 216); the cell edges are 6.908, 6.908 and 6.908 Å and the angles 90.00°, 90.00° and 90.00°. Symmetry generates all atoms from Ca at (0.000, 0.000, 0.000), Sc at (0.000, 0.000, 0.500) and W at (0.250, 0.250, 0.750).

---

Model Q:
CaScW | PBE-GGA | optimized geometry

The calculation puts the calculated density at 7.0 Mg/m³.

The structure belongs to space group P-6m2 (No. 187); the cell edges are 5.1446, 5.1446 and 2.7693 Å and the angles 90.00°, 90.00° and 120.00°. Symmetry generates all atoms from Ca at (0.0000, 0.0000, 0.0000), Sc at (0.6667, 0.3333, 0.0000) and W at (0.3333, 0.6667, 0.5000).

---

Quick ranking, most stable first: model Q, model P.

---

Model P:
CaScW | PBE-GGA | optimized geometry

The calculation puts the calculated density at 6.6 Mg/m³.

The structure belongs to space group P3m1 (No. 156); the cell edges are 3.1288, 3.1288 and 8.0257 Å and the angles 90.00°, 90.00° and 120.00°. Symmetry generates all atoms from Ca at (0.0000, 0.0000, 0.0000), Sc at (0.3333, 0.6667, 0.3958) and W at (0.6667, 0.3333, 0.6770).

---

Model Q:
CaScW | PBE-GGA | optimized geometry

The calculation puts the calculated density at 6.5 Mg/m³.

The structure belongs to space group Imm2 (No. 44); the cell edges are 2.963, 4.408 and 10.469 Å and the angles 90.00°, 90.00° and 90.00°. Symmetry generates all atoms from Ca at (0.000, 0.000, 0.000), Sc at (0.000, 0.000, 0.702) and W at (0.000, 0.000, 0.315).

---

Quick ranking, most stable first: model Q, model P.

---

Model P:
CaSc2W | PBE-GGA | optimized geometry

The calculation puts the calculated density at 5.4 Mg/m³.

The structure belongs to space group Cm (No. 8); the cell edges are 9.934, 3.017 and 6.424 Å and the angles 90.00°, 92.77° and 90.00°. Symmetry generates all atoms from Ca at (0.000, 0.000, 0.000), Sc at (0.241, 0.000, 0.677), Sc at (0.493, 0.000, 0.448) and W at (0.254, 0.500, 0.299).

---

Model Q:
CaSc2W | PBE-GGA | optimized geometry

The calculation puts the calculated density at 3.4 Mg/m³.

The structure belongs to space group I4_1/amd (No. 141, origin choice 2); the cell edges are 6.693, 6.693 and 13.595 Å and the angles 90.00°, 90.00° and 90.00°. Symmetry generates all atoms from Ca at (0.000, 0.250, 0.375), Sc at (0.000, 0.000, 0.000) and W at (0.000, 0.250, 0.875).

---

Model R:
CaSc2W | PBE-GGA | optimized geometry

The calculation puts the calculated density at 5.9 Mg/m³.

The structure belongs to space group Fm-3m (No. 225); the cell edges are 7.050, 7.050 and 7.050 Å and the angles 90.00°, 90.00° and 90.00°. Symmetry generates all atoms from Ca at (0.000, 0.000, 0.000), Sc at (0.250, 0.250, 0.250) and W at (0.000, 0.000, 0.500).

---

Quick ranking, most stable first: model P, model R, model Q.

---

Model P:
CaSc2W | PBE-GGA | optimized geometry

The calculation puts the calculated density at 5.4 Mg/m³.

The structure belongs to space group Pmm2 (No. 25); the cell edges are 3.115, 4.327 and 7.142 Å and the angles 90.00°, 90.00° and 90.00°. Symmetry generates all atoms from Ca at (0.000, 0.000, 0.000), Sc at (0.000, 0.000, 0.563), Sc at (0.500, 0.500, 0.330) and W at (0.500, 0.500, 0.726).

---

Model Q:
CaSc2W | PBE-GGA | optimized geometry

The calculation puts the calculated density at 5.8 Mg/m³.

The structure belongs to space group Imm2 (No. 44); the cell edges are 4.440, 4.455 and 9.061 Å and the angles 90.00°, 90.00° and 90.00°. Symmetry generates all atoms from Ca at (0.000, 0.000, 0.000), Sc at (0.000, 0.000, 0.501), Sc at (0.000, 0.500, 0.751) and W at (0.000, 0.500, 0.250).

---

Quick ranking, most stable first: model P, model Q.

---

Model P:
CaSc2W | PBE-GGA | optimized geometry

The calculation puts the calculated density at 5.8 Mg/m³.

The structure belongs to space group P4/mmm (No. 123); the cell edges are 4.601, 4.601 and 4.224 Å and the angles 90.00°, 90.00° and 90.00°. Symmetry generates all atoms from Ca at (0.000, 0.000, 0.000), Sc at (0.000, 0.500, 0.500) and W at (0.500, 0.500, 0.000).

---

Model Q:
CaSc2W | PBE-GGA | optimized geometry

The calculation puts the calculated density at 5.7 Mg/m³.

The structure belongs to space group P4mm (No. 99); the cell edges are 2.994, 2.994 and 10.261 Å and the angles 90.00°, 90.00° and 90.00°. Symmetry generates all atoms from Ca at (0.000, 0.000, 0.000), Sc at (0.000, 0.000, 0.554), Sc at (0.500, 0.500, 0.296) and W at (0.500, 0.500, 0.759).

---

Model R:
CaSc2W | PBE-GGA | optimized geometry

The calculation puts the calculated density at 5.4 Mg/m³.

The structure belongs to space group R-3m (No. 166, hexagonal axes); the cell edges are 3.2663, 3.2663 and 31.5673 Å and the angles 90.00°, 90.00° and 120.00°. Symmetry generates all atoms from Ca at (0.0000, 0.0000, 0.0000), Sc at (0.0000, 0.0000, 0.2341) and W at (0.0000, 0.0000, 0.5000).

---

Model S:
CaSc2W | PBE-GGA | optimized geometry

The calculation puts the calculated density at 5.8 Mg/m³.

The structure belongs to space group F-43m (No. 216); the cell edges are 7.101, 7.101 and 7.101 Å and the angles 90.00°, 90.00° and 90.00°. Symmetry generates all atoms from Ca at (0.000, 0.000, 0.000), Sc at (0.000, 0.000, 0.500), Sc at (0.250, 0.250, 0.250) and W at (0.250, 0.250, 0.750).

---

Quick ranking, most stable first: model R, model Q, model P, model S.